(1)
{
  "formula": "LiBi2WO6",
  "functional": "PBE+U",
  "state": "optimized geometry",
  "final_energy_ev_per_atom": -6.29,
  "magnetic_moment_mub_per_atom": 0.1000,
  "cell": [[5.713, 0.000, 0.000], [-2.791, 4.997, 0.000], [-0.118, -3.232, 4.844]],
  "species": ["Li", "Bi", "Bi", "W", "O", "O", "O", "O", "O", "O"],
  "frac_coords": [[0.000, 0.000, 0.000], [0.242, 0.470, 0.682], [0.729, 0.459, 0.186], [0.533, 0.044, 0.552], [0.222, 0.991, 0.354], [0.331, 0.983, 0.837], [0.394, 0.575, 0.354], [0.678, 0.525, 0.828], [0.801, 0.156, 0.342], [0.862, 0.173, 0.827]]
}



(2)
{
  "formula": "LiBiW2O8",
  "functional": "PBE+U",
  "state": "optimized geometry",
  "final_energy_ev_per_atom": -6.89,
  "magnetic_moment_mub_per_atom": 0.0000,
  "cell": [[5.112, 0.000, 0.000], [0.000, 6.115, 0.000], [-4.601, 0.000, 10.204]],
  "species": ["Li", "Li", "Bi", "Bi", "W", "W", "W", "W", "O", "O", "O", "O", "O", "O", "O", "O", "O", "O", "O", "O", "O", "O", "O", "O"],
  "frac_coords": [[0.000, 0.236, 0.250], [0.000, 0.764, 0.750], [0.500, 0.345, 0.750], [0.500, 0.655, 0.250], [0.265, 0.165, 0.012], [0.265, 0.835, 0.512], [0.735, 0.165, 0.488], [0.735, 0.835, 0.988], [0.152, 0.107, 0.596], [0.152, 0.893, 0.096], [0.231, 0.347, 0.137], [0.231, 0.653, 0.637], [0.276, 0.367, 0.894], [0.276, 0.633, 0.394], [0.341, 0.087, 0.394], [0.341, 0.913, 0.894], [0.659, 0.087, 0.106], [0.659, 0.913, 0.606], [0.724, 0.367, 0.606], [0.724, 0.633, 0.106], [0.769, 0.347, 0.363], [0.769, 0.653, 0.863], [0.848, 0.107, 0.904], [0.848, 0.893, 0.404]]
}



(3)
{
  "formula": "LiBiWO2",
  "functional": "PBE+U",
  "state": "optimized geometry",
  "final_energy_ev_per_atom": -5.53,
  "magnetic_moment_mub_per_atom": 0.0000,
  "cell": [[3.904, 0.000, 0.000], [0.000, 3.904, 0.000], [0.000, 0.000, 5.859]],
  "species": ["Li", "Bi", "W", "O", "O"],
  "frac_coords": [[0.000, 0.000, 0.000], [0.500, 0.500, 0.000], [0.500, 0.500, 0.500], [0.000, 0.500, 0.500], [0.500, 0.000, 0.500]]
}